# 1
## Au2S2Cl (PBE-GGA)

Data for a geometry-optimized Au2S2Cl structure.

The value obtained for the spin magnetization is 0.000 μB per cell. The relative energy among the computed polymorphs comes out at 50 meV/atom. The value obtained for the uncorrected formation energy is 0.215 eV/atom.

Geometry as CIF:
```
data_Au2S2Cl
_space_group_name_H-M_alt 'I 4/m m m'
_space_group_IT_number 139
_space_group_name_Hall '-I 4 2'
_cell_length_a 4.730
_cell_length_b 4.730
_cell_length_c 10.046
_cell_angle_alpha 90.00
_cell_angle_beta 90.00
_cell_angle_gamma 90.00
loop_
_atom_site_label
_atom_site_type_symbol
_atom_site_fract_x
_atom_site_fract_y
_atom_site_fract_z
Au1 Au 0.000 0.000 0.183
S1 S 0.000 0.500 0.250
Cl1 Cl 0.000 0.000 0.500
```



# 2
## Nd3Al2Ni9 (PBE-GGA)

Data for a geometry-optimized Nd3Al2Ni9 structure.

The value obtained for the spin magnetization is 0.000 μB per cell. Its total energy is -157.6 eV/cell.

Geometry as CIF:
```
data_Nd3Al2Ni9
_space_group_name_H-M_alt 'I m m m'
_space_group_IT_number 71
_space_group_name_Hall '-I 2 2'
_cell_length_a 4.000
_cell_length_b 9.280
_cell_length_c 12.285
_cell_angle_alpha 90.00
_cell_angle_beta 90.00
_cell_angle_gamma 90.00
loop_
_atom_site_label
_atom_site_type_symbol
_atom_site_fract_x
_atom_site_fract_y
_atom_site_fract_z
Nd1 Nd 0.000 0.000 0.000
Nd2 Nd 0.000 0.000 0.298
Al1 Al 0.000 0.211 0.500
Ni1 Ni 0.000 0.278 0.108
Ni2 Ni 0.000 0.308 0.306
Ni3 Ni 0.000 0.500 0.000
```



# 3
## Ba4Na3Ag (PBE-GGA)

Data for a geometry-optimized Ba4Na3Ag structure.

The value obtained for the spin magnetization is 0.000 μB per cell. Its total energy is -14.9 eV/cell.

Geometry as CIF:
```
data_Ba4Na3Ag
_space_group_name_H-M_alt 'P 4/m m m'
_space_group_IT_number 123
_space_group_name_Hall '-P 4 2'
_cell_length_a 4.261
_cell_length_b 4.261
_cell_length_c 20.577
_cell_angle_alpha 90.00
_cell_angle_beta 90.00
_cell_angle_gamma 90.00
loop_
_atom_site_label
_atom_site_type_symbol
_atom_site_fract_x
_atom_site_fract_y
_atom_site_fract_z
Ba1 Ba 0.000 0.000 0.094
Ba2 Ba 0.000 0.000 0.365
Na1 Na 0.500 0.500 0.231
Na2 Na 0.500 0.500 0.500
Ag1 Ag 0.500 0.500 0.000
```